Record 1
A plane-wave DFT calculation with GGA-PBE was carried out for a relaxed structure of LaGaGe2.

Lattice parameters (Å, degrees): 4.4696 4.4452 4.4452 90.00 90.00 90.00
Atoms (fractional coordinates):
Ge  0.0000  0.0000  0.5000
Ge  0.0000  0.5000  0.0000
Ga  0.5000  0.0000  0.0000
La  0.5000  0.5000  0.5000

Values from the calculation:
Calculated volume ... 22.080 A^3/atom
Energy relative to the elements ... -0.48 eV per atom
Density ... 6.654 g/cm3
Energy relative to the lowest polymorph listed for this composition ... 0.00 eV per formula unit

---

Record 2
A plane-wave DFT calculation with GGA-PBE was carried out for a relaxed structure of LaGaGe2.

Lattice parameters (Å, degrees): 7.6665 7.6665 6.2924 52.47 52.47 90.00
Atoms (fractional coordinates):
Ge  0.5729  0.1250  0.2500
Ge  0.1771  0.6250  0.2500
Ge  0.3750  0.4271  0.7500
Ge  0.8750  0.8229  0.7500
Ga  0.5000  0.5000  0.0000
Ga  0.2500  0.7500  0.5000
La  0.0000  0.0000  0.0000
La  0.7500  0.2500  0.5000

Values from the calculation:
Calculated volume ... 23.472 A^3/atom
Energy relative to the elements ... -0.39 eV per atom
Density ... 6.259 g/cm3
Energy relative to the lowest polymorph listed for this composition ... 0.37 eV per formula unit

---

Record 3
A plane-wave DFT calculation with GGA-PBE was carried out for a relaxed structure of La3Ga3Ge2.

Lattice parameters (Å, degrees): 4.2203 6.2020 16.2928 90.00 90.00 109.89
Atoms (fractional coordinates):
La  0.8503  0.7006  0.4105
La  0.1497  0.2994  0.9105
La  0.8503  0.7006  0.0895
La  0.1497  0.2994  0.5895
La  0.5606  0.1212  0.2500
La  0.4394  0.8788  0.7500
Ga  0.5566  0.1132  0.4375
Ga  0.4434  0.8868  0.9375
Ga  0.5566  0.1132  0.0625
Ga  0.4434  0.8868  0.5625
Ga  0.2938  0.5876  0.2500
Ga  0.7062  0.4124  0.7500
Ge  0.8502  0.7004  0.8825
Ge  0.1498  0.2996  0.3825
Ge  0.8502  0.7004  0.6175
Ge  0.1498  0.2996  0.1175

Values from the calculation:
Calculated volume ... 25.063 A^3/atom
Energy relative to the elements ... -0.72 eV per atom
Density ... 6.387 g/cm3

---

Record 4
A plane-wave DFT calculation with GGA-PBE was carried out for a relaxed structure of LaGa2Ge.

Lattice parameters (Å, degrees): 4.5177 4.5177 5.8255 67.19 67.19 60.00
Atoms (fractional coordinates):
Ge  0.0000  0.0000  0.0000
Ga  0.7177  0.7177  0.8470
Ga  0.2823  0.2823  0.1530
La  0.5000  0.5000  0.5000

Values from the calculation:
Calculated volume ... 23.018 A^3/atom
Energy relative to the elements ... -0.40 eV per atom
Density ... 6.330 g/cm3
Energy relative to the lowest polymorph listed for this composition ... 0.42 eV per formula unit

---

Record 5
A plane-wave DFT calculation with GGA-PBE was carried out for a relaxed structure of LaGa2Ge.

Lattice parameters (Å, degrees): 4.2047 9.0690 9.7198 90.00 102.49 90.00
Atoms (fractional coordinates):
La  0.5000  0.5000  0.0000
La  0.5000  0.0000  0.0000
La  0.2995  0.7500  0.5990
La  0.7005  0.2500  0.4010
Ga  0.9185  0.2500  0.8371
Ga  0.9460  0.7500  0.8920
Ga  0.0815  0.7500  0.1629
Ga  0.0540  0.2500  0.1080
Ga  0.6842  0.6072  0.3684
Ga  0.3158  0.3928  0.6316
Ga  0.3158  0.1072  0.6316
Ga  0.6842  0.8928  0.3684
Ge  0.1328  0.4770  0.2655
Ge  0.8672  0.9770  0.7345
Ge  0.1328  0.0230  0.2655
Ge  0.8672  0.5230  0.7345

Values from the calculation:
Calculated volume ... 22.617 A^3/atom
Energy relative to the elements ... -0.48 eV per atom
Density ... 6.443 g/cm3
Energy relative to the lowest polymorph listed for this composition ... 0.08 eV per formula unit

---

Record 6
A plane-wave DFT calculation with GGA-PBE was carried out for a relaxed structure of La2Ga3Ge2.

Lattice parameters (Å, degrees): 4.2221 6.1540 6.6783 94.96 90.00 110.06
Atoms (fractional coordinates):
La  0.8532  0.7064  0.2649
La  0.1468  0.2936  0.7351
Ga  0.5000  0.0000  0.0000
Ga  0.5760  0.1520  0.3796
Ga  0.4240  0.8480  0.6204
Ge  0.8500  0.7000  0.7832
Ge  0.1500  0.3000  0.2168

Values from the calculation:
Calculated volume ... 23.186 A^3/atom
Energy relative to the elements ... -0.63 eV per atom
Density ... 6.469 g/cm3
Energy relative to the lowest polymorph listed for this composition ... 0.00 eV per formula unit

---

Record 7
A plane-wave DFT calculation with GGA-PBE was carried out for a relaxed structure of La4GaGe3.

Lattice parameters (Å, degrees): 4.5919 4.1564 11.4577 90.00 90.00 90.00
Atoms (fractional coordinates):
Ge  0.0000  0.5000  0.5772
Ge  0.0000  0.0000  0.4246
Ge  0.5000  0.0000  0.9259
Ga  0.5000  0.5000  0.0718
La  0.5000  0.5000  0.3618
La  0.0000  0.5000  0.8594
La  0.0000  0.0000  0.1408
La  0.5000  0.0000  0.6385

Values from the calculation:
Calculated volume ... 27.335 A^3/atom
Energy relative to the elements ... -0.80 eV per atom
Density ... 6.403 g/cm3

---

Record 8
A plane-wave DFT calculation with GGA-PBE was carried out for a relaxed structure of La3Ga4Ge4.

Lattice parameters (Å, degrees): 4.4860 4.2401 14.6065 73.11 80.28 90.00
Atoms (fractional coordinates):
La  0.1430  0.7812  0.7184
La  0.8570  0.2189  0.2816
La  0.0000  0.0000  0.0000
Ga  0.5047  0.1790  0.8210
Ga  0.2734  0.0424  0.4584
Ga  0.7266  0.9577  0.5416
Ga  0.4953  0.8211  0.1790
Ge  0.6182  0.5908  0.9092
Ge  0.3818  0.4092  0.0908
Ge  0.2808  0.6450  0.3555
Ge  0.7193  0.3550  0.6446

Values from the calculation:
Calculated volume ... 23.789 A^3/atom
Energy relative to the elements ... -0.62 eV per atom
Density ... 6.258 g/cm3
Energy relative to the lowest polymorph listed for this composition ... 0.00 eV per formula unit

---

Record 9
A plane-wave DFT calculation with GGA-PBE was carried out for a relaxed structure of La4GaGe.

Lattice parameters (Å, degrees): 6.4912 6.8507 9.0756 90.00 110.31 90.00
Atoms (fractional coordinates):
La  0.5754  0.2500  0.3801
La  0.4246  0.7500  0.6199
La  0.5964  0.2500  0.9128
La  0.4036  0.7500  0.0872
La  0.0094  0.9983  0.2607
La  0.9906  0.4983  0.7393
La  0.0094  0.5017  0.2607
La  0.9906  0.0017  0.7393
Ga  0.2611  0.2500  0.5712
Ga  0.7389  0.7500  0.4288
Ge  0.2138  0.2500  0.0491
Ge  0.7862  0.7500  0.9509

Values from the calculation:
Calculated volume ... 31.542 A^3/atom
Energy relative to the elements ... -0.48 eV per atom
Density ... 6.124 g/cm3

---

Record 10
A plane-wave DFT calculation with GGA-PBE was carried out for a relaxed structure of La2Ga2Ge.

Lattice parameters (Å, degrees): 7.3102 7.3102 4.6978 90.00 90.00 90.00
Atoms (fractional coordinates):
Ge  0.0000  0.0000  0.0000
Ge  0.5000  0.5000  0.0000
Ga  0.3727  0.8727  0.0000
Ga  0.8727  0.6273  0.0000
Ga  0.6273  0.1273  0.0000
Ga  0.1273  0.3727  0.0000
La  0.1738  0.6738  0.5000
La  0.6738  0.8262  0.5000
La  0.8262  0.3262  0.5000
La  0.3262  0.1738  0.5000

Values from the calculation:
Calculated volume ... 25.105 A^3/atom
Energy relative to the elements ... -0.59 eV per atom
Density ... 6.481 g/cm3
Energy relative to the lowest polymorph listed for this composition ... 0.53 eV per formula unit

---

What did the second record say?
A plane-wave DFT calculation with GGA-PBE was carried out for a relaxed structure of LaGaGe2.

Lattice parameters (Å, degrees): 7.6665 7.6665 6.2924 52.47 52.47 90.00
Atoms (fractional coordinates):
Ge  0.5729  0.1250  0.2500
Ge  0.1771  0.6250  0.2500
Ge  0.3750  0.4271  0.7500
Ge  0.8750  0.8229  0.7500
Ga  0.5000  0.5000  0.0000
Ga  0.2500  0.7500  0.5000
La  0.0000  0.0000  0.0000
La  0.7500  0.2500  0.5000

Values from the calculation:
Calculated volume ... 23.472 A^3/atom
Energy relative to the elements ... -0.39 eV per atom
Density ... 6.259 g/cm3
Energy relative to the lowest polymorph listed for this composition ... 0.37 eV per formula unit

---

> Look up the energy relative to the elements of the tenth one.

-0.59 eV per atom

---

> What is the calculated volume in the ninth record?

31.542 A^3/atom

---

> Which formula does entry 9 have?

La4GaGe